Zn2Hg2H2Se2O11: relaxed, GGA-PBE.

a = 6.1690 Å, b = 11.5036 Å, c = 13.2437 Å
α = 90.00°, β = 90.00°, γ = 90.00°
Atoms (fractional coordinates):
H (0.7084, 0.1923, 0.0308)
H (0.2916, 0.6923, 0.0308)
H (0.7084, 0.1923, 0.4692)
H (0.2916, 0.6923, 0.4692)
H (0.7084, 0.3077, 0.5308)
H (0.2916, 0.8077, 0.5308)
H (0.7084, 0.3077, 0.9692)
H (0.2916, 0.8077, 0.9692)
Hg (0.7950, 0.0776, 0.2500)
Hg (0.4712, 0.3279, 0.2500)
Hg (0.2050, 0.5776, 0.2500)
Hg (0.5288, 0.8279, 0.2500)
Hg (0.4712, 0.1721, 0.7500)
Hg (0.7950, 0.4224, 0.7500)
Hg (0.5288, 0.6721, 0.7500)
Hg (0.2050, 0.9224, 0.7500)
O (0.8128, 0.2500, 0.0000)
O (0.1872, 0.7500, 0.0000)
O (0.2264, 0.4060, 0.0479)
O (0.7736, 0.9060, 0.0479)
O (0.5280, 0.1369, 0.1015)
O (0.4720, 0.6369, 0.1015)
O (0.7297, 0.4498, 0.1174)
O (0.2703, 0.9498, 0.1174)
O (0.1034, 0.1642, 0.1425)
O (0.8966, 0.6642, 0.1425)
O (0.7833, 0.2634, 0.2500)
O (0.1600, 0.3965, 0.2500)
O (0.2167, 0.7634, 0.2500)
O (0.8400, 0.8965, 0.2500)
O (0.1034, 0.1642, 0.3575)
O (0.8966, 0.6642, 0.3575)
O (0.7297, 0.4498, 0.3826)
O (0.2703, 0.9498, 0.3826)
O (0.5280, 0.1369, 0.3985)
O (0.4720, 0.6369, 0.3985)
O (0.2264, 0.4060, 0.4521)
O (0.7736, 0.9060, 0.4521)
O (0.8128, 0.2500, 0.5000)
O (0.1872, 0.7500, 0.5000)
O (0.2264, 0.0940, 0.5479)
O (0.7736, 0.5940, 0.5479)
O (0.5280, 0.3631, 0.6015)
O (0.4720, 0.8631, 0.6015)
O (0.7297, 0.0502, 0.6174)
O (0.2703, 0.5502, 0.6174)
O (0.1034, 0.3358, 0.6425)
O (0.8966, 0.8358, 0.6425)
O (0.1600, 0.1035, 0.7500)
O (0.7833, 0.2366, 0.7500)
O (0.8400, 0.6035, 0.7500)
O (0.2167, 0.7366, 0.7500)
O (0.1034, 0.3358, 0.8575)
O (0.8966, 0.8358, 0.8575)
O (0.7297, 0.0502, 0.8826)
O (0.2703, 0.5502, 0.8826)
O (0.5280, 0.3631, 0.8985)
O (0.4720, 0.8631, 0.8985)
O (0.2264, 0.0940, 0.9521)
O (0.7736, 0.5940, 0.9521)
Se (0.2812, 0.0867, 0.0753)
Se (0.7188, 0.5867, 0.0753)
Se (0.2812, 0.0867, 0.4247)
Se (0.7188, 0.5867, 0.4247)
Se (0.2812, 0.4133, 0.5753)
Se (0.7188, 0.9133, 0.5753)
Se (0.2812, 0.4133, 0.9247)
Se (0.7188, 0.9133, 0.9247)
Zn (0.9741, 0.3295, 0.1290)
Zn (0.0259, 0.8295, 0.1290)
Zn (0.9741, 0.3295, 0.3710)
Zn (0.0259, 0.8295, 0.3710)
Zn (0.9741, 0.1705, 0.6290)
Zn (0.0259, 0.6705, 0.6290)
Zn (0.9741, 0.1705, 0.8710)
Zn (0.0259, 0.6705, 0.8710)

## Properties
DFT total energy = -86.7 eV/f.u.

=====

MgTl2ReO6: relaxed, GGA-PBE.

a = 5.6210 Å, b = 5.6210 Å, c = 5.6210 Å
α = 60.00°, β = 60.00°, γ = 60.00°
Atoms (fractional coordinates):
Mg (0.5000, 0.5000, 0.5000)
O (0.2392, 0.7608, 0.2392)
O (0.7608, 0.7608, 0.2392)
O (0.7608, 0.2392, 0.2392)
O (0.2392, 0.2392, 0.7608)
O (0.7608, 0.2392, 0.7608)
O (0.2392, 0.7608, 0.7608)
Re (0.0000, 0.0000, 0.0000)
Tl (0.2500, 0.2500, 0.2500)
Tl (0.7500, 0.7500, 0.7500)

## Properties
DFT total energy = -62.6 eV/f.u.

=====

LiPuPa: relaxed, GGA-PBE.

a = 4.5813 Å, b = 4.5813 Å, c = 4.5813 Å
α = 60.00°, β = 60.00°, γ = 60.00°
Atoms (fractional coordinates):
Li (0.5000, 0.5000, 0.5000)
Pa (0.0000, 0.0000, 0.0000)
Pu (0.2500, 0.2500, 0.2500)

## Properties
DFT total energy = -23.4 eV/f.u.
Polymorph energy (0 for the lowest one) = 0.000 eV per atom

=====

DyHoPt4Pb2: relaxed, GGA-PBE.

a = 4.6481 Å, b = 4.6481 Å, c = 9.0461 Å
α = 90.00°, β = 90.00°, γ = 120.00°
Atoms (fractional coordinates):
Dy (0.0000, 0.0000, 0.0000)
Ho (0.3333, 0.6667, 0.5000)
Pb (0.6667, 0.3333, 0.2504)
Pb (0.6667, 0.3333, 0.7496)
Pt (0.3333, 0.6667, 0.1551)
Pt (0.0000, 0.0000, 0.3456)
Pt (0.0000, 0.0000, 0.6544)
Pt (0.3333, 0.6667, 0.8449)

## Properties
DFT total energy = -47.0 eV/f.u.

=====

NaNdBr4: relaxed, GGA-PBE.

a = 7.1322 Å, b = 7.2688 Å, c = 7.5067 Å
α = 89.76°, β = 88.37°, γ = 78.99°
Atoms (fractional coordinates):
Br (0.5734, 0.6932, 0.1179)
Br (0.0931, 0.9996, 0.2156)
Br (0.0533, 0.5015, 0.2523)
Br (0.6029, 0.2093, 0.3756)
Br (0.3971, 0.7907, 0.6244)
Br (0.9467, 0.4985, 0.7477)
Br (0.9069, 0.0004, 0.7844)
Br (0.4266, 0.3068, 0.8821)
Na (0.7712, 0.8083, 0.4572)
Na (0.2288, 0.1917, 0.5428)
Nd (0.7908, 0.2998, 0.0574)
Nd (0.2092, 0.7002, 0.9426)

## Properties
DFT total energy = -23.3 eV/f.u.

=====

SmMgSc2Tl2: relaxed, GGA-PBE.

a = 5.1386 Å, b = 5.1386 Å, c = 6.4242 Å
α = 90.00°, β = 90.00°, γ = 120.00°
Atoms (fractional coordinates):
Mg (0.0000, 0.0000, 0.0000)
Sc (0.6667, 0.3333, 0.1838)
Sc (0.3333, 0.6667, 0.8162)
Sm (0.0000, 0.0000, 0.5000)
Tl (0.3333, 0.6667, 0.2861)
Tl (0.6667, 0.3333, 0.7139)

## Properties
DFT total energy = -25.2 eV/f.u.

=====

CuHgSbOs: relaxed, GGA-PBE.

a = 4.6398 Å, b = 4.6398 Å, c = 4.6398 Å
α = 60.00°, β = 60.00°, γ = 60.00°
Atoms (fractional coordinates):
Cu (0.7500, 0.7500, 0.7500)
Hg (0.5000, 0.5000, 0.5000)
Os (0.2500, 0.2500, 0.2500)
Sb (0.0000, 0.0000, 0.0000)

## Properties
DFT total energy = -16.8 eV/f.u.
Polymorph energy (0 for the lowest one) = 0.000 eV per atom

=====

Fe2BiPt: relaxed, GGA-PBE.

a = 4.5563 Å, b = 4.5563 Å, c = 4.5563 Å
α = 60.00°, β = 60.00°, γ = 60.00°
Atoms (fractional coordinates):
Bi (0.5000, 0.5000, 0.5000)
Fe (0.0000, 0.0000, 0.0000)
Fe (0.7500, 0.7500, 0.7500)
Pt (0.2500, 0.2500, 0.2500)

## Properties
DFT total energy = -25.6 eV/f.u.

=====

LaPrBi2Se2: relaxed, GGA-PBE.

a = 4.3720 Å, b = 4.3720 Å, c = 9.2892 Å
α = 90.00°, β = 90.00°, γ = 90.00°
Atoms (fractional coordinates):
Bi (0.5000, 0.0000, 0.9991)
Bi (0.0000, 0.5000, 0.9991)
La (0.5000, 0.5000, 0.3057)
Pr (0.0000, 0.0000, 0.6960)
Se (0.0000, 0.0000, 0.3694)
Se (0.5000, 0.5000, 0.6306)

## Properties
DFT total energy = -32.9 eV/f.u.

=====

ZrMo: relaxed, GGA-PBE.

a = 5.4950 Å, b = 7.2356 Å, c = 4.7987 Å
α = 90.00°, β = 90.00°, γ = 79.14°
Atoms (fractional coordinates):
Mo (0.7822, 0.3747, 0.0000)
Mo (0.1902, 0.5445, 0.0000)
Mo (0.5614, 0.7363, 0.0000)
Mo (0.4781, 0.4628, 0.5000)
Mo (0.3036, 0.8286, 0.5000)
Zr (0.4058, 0.1562, 0.0000)
Zr (0.9875, 0.9380, 0.0000)
Zr (0.6534, 0.0631, 0.5000)
Zr (0.0837, 0.2448, 0.5000)
Zr (0.8873, 0.6510, 0.5000)

## Properties
DFT total energy = -19.3 eV/f.u.
Polymorph energy (0 for the lowest one) = 0.059 eV per atom

=====

Ta2TlB2: relaxed, GGA-PBE.

a = 7.6073 Å, b = 7.6073 Å, c = 3.1665 Å
α = 90.00°, β = 90.00°, γ = 157.15°
Atoms (fractional coordinates):
B (0.7786, 0.2214, 0.0000)
B (0.2214, 0.7786, 0.0000)
Ta (0.6590, 0.3410, 0.5000)
Ta (0.3410, 0.6590, 0.5000)
Tl (0.0000, 0.0000, 0.0000)

## Properties
DFT total energy = -40.4 eV/f.u.

=====

BaAsPtAu: relaxed, GGA-PBE.

a = 5.1121 Å, b = 5.1121 Å, c = 5.1121 Å
α = 60.00°, β = 60.00°, γ = 60.00°
Atoms (fractional coordinates):
As (0.5000, 0.5000, 0.5000)
Au (0.7500, 0.7500, 0.7500)
Ba (0.0000, 0.0000, 0.0000)
Pt (0.2500, 0.2500, 0.2500)

## Properties
DFT total energy = -16.3 eV/f.u.
Polymorph energy (0 for the lowest one) = 0.043 eV per atom

=====

The lowest DFT total energy belongs to which entry?
Zn2Hg2H2Se2O11